1.
Bi3NF | meta-GGA SCAN | PBEsol geometry

CIF file:
```
data_Bi3NF
_chemical_formula_sum 'Bi3 N1 F1'
_symmetry_space_group_name_H-M 'P m -3 m'
_symmetry_Int_Tables_number 221
_symmetry_space_group_name_Hall '-P 4 2 3'
_cell_length_a 4.961
_cell_length_b 4.961
_cell_length_c 4.961
_cell_angle_alpha 90.00
_cell_angle_beta 90.00
_cell_angle_gamma 90.00
loop_
_atom_site_label
_atom_site_type_symbol
_atom_site_fract_x
_atom_site_fract_y
_atom_site_fract_z
Bi1 Bi 0.000 0.000 0.500
N1 N 0.500 0.500 0.500
F1 F 0.000 0.000 0.000
```

## Properties
For the volume, the calculation gives 122 Å³/cell. The energy comes out at -244.5 eV per cell.

---

2.
BiN2OF | meta-GGA SCAN | PBEsol geometry

CIF file:
```
data_BiN2OF
_chemical_formula_sum 'Bi1 N2 O1 F1'
_symmetry_space_group_name_H-M 'P 4/m m m'
_symmetry_Int_Tables_number 123
_symmetry_space_group_name_Hall '-P 4 2'
_cell_length_a 4.414
_cell_length_b 4.414
_cell_length_c 4.351
_cell_angle_alpha 90.00
_cell_angle_beta 90.00
_cell_angle_gamma 90.00
loop_
_atom_site_label
_atom_site_type_symbol
_atom_site_fract_x
_atom_site_fract_y
_atom_site_fract_z
Bi1 Bi 0.000 0.000 0.000
N1 N 0.000 0.500 0.000
O1 O 0.500 0.500 0.500
F1 F 0.000 0.000 0.500
```

## Properties
For the volume, the calculation gives 85 Å³/cell. The energy comes out at -99.9 eV per cell.

---

3.
BiNOF2 | meta-GGA SCAN | PBEsol geometry

CIF file:
```
data_BiNOF2
_chemical_formula_sum 'Bi1 N1 O1 F2'
_symmetry_space_group_name_H-M 'P 4/m m m'
_symmetry_Int_Tables_number 123
_symmetry_space_group_name_Hall '-P 4 2'
_cell_length_a 4.448
_cell_length_b 4.448
_cell_length_c 4.141
_cell_angle_alpha 90.00
_cell_angle_beta 90.00
_cell_angle_gamma 90.00
loop_
_atom_site_label
_atom_site_type_symbol
_atom_site_fract_x
_atom_site_fract_y
_atom_site_fract_z
Bi1 Bi 0.000 0.000 0.000
N1 N 0.500 0.500 0.500
O1 O 0.000 0.000 0.500
F1 F 0.000 0.500 0.000
```

## Properties
For the volume, the calculation gives 82 Å³/cell. The energy comes out at -102.9 eV per cell.

---

4.
RbBiNF2 | meta-GGA SCAN | PBEsol geometry

CIF file:
```
data_RbBiNF2
_chemical_formula_sum 'Rb1 Bi1 N1 F2'
_symmetry_space_group_name_H-M 'P 4/m m m'
_symmetry_Int_Tables_number 123
_symmetry_space_group_name_Hall '-P 4 2'
_cell_length_a 4.698
_cell_length_b 4.698
_cell_length_c 4.276
_cell_angle_alpha 90.00
_cell_angle_beta 90.00
_cell_angle_gamma 90.00
loop_
_atom_site_label
_atom_site_type_symbol
_atom_site_fract_x
_atom_site_fract_y
_atom_site_fract_z
Rb1 Rb 0.000 0.000 0.000
Bi1 Bi 0.500 0.500 0.500
N1 N 0.500 0.500 0.000
F1 F 0.000 0.500 0.500
```

## Properties
For the volume, the calculation gives 94 Å³/cell. The energy comes out at -121.7 eV per cell.

---

5.
BiSbN2F | meta-GGA SCAN | PBEsol geometry

CIF file:
```
data_BiSbN2F
_chemical_formula_sum 'Bi1 Sb1 N2 F1'
_symmetry_space_group_name_H-M 'P 4/m m m'
_symmetry_Int_Tables_number 123
_symmetry_space_group_name_Hall '-P 4 2'
_cell_length_a 4.182
_cell_length_b 4.182
_cell_length_c 4.138
_cell_angle_alpha 90.00
_cell_angle_beta 90.00
_cell_angle_gamma 90.00
loop_
_atom_site_label
_atom_site_type_symbol
_atom_site_fract_x
_atom_site_fract_y
_atom_site_fract_z
Bi1 Bi 0.000 0.000 0.000
Sb1 Sb 0.500 0.500 0.500
N1 N 0.000 0.500 0.500
F1 F 0.500 0.500 0.000
```

## Properties
For the volume, the calculation gives 72 Å³/cell. The energy comes out at -136.3 eV per cell.

---

6.
Na3BiF6 | meta-GGA SCAN | PBEsol geometry

CIF file:
```
data_Na3BiF6
_chemical_formula_sum 'Na12 Bi4 F24'
_symmetry_space_group_name_H-M 'F m -3 m'
_symmetry_Int_Tables_number 225
_symmetry_space_group_name_Hall '-F 4 2 3'
_cell_length_a 8.823
_cell_length_b 8.823
_cell_length_c 8.823
_cell_angle_alpha 90.00
_cell_angle_beta 90.00
_cell_angle_gamma 90.00
loop_
_atom_site_label
_atom_site_type_symbol
_atom_site_fract_x
_atom_site_fract_y
_atom_site_fract_z
Na1 Na 0.000 0.000 0.000
Na2 Na 0.250 0.250 0.250
Bi1 Bi 0.000 0.000 0.500
F1 F 0.000 0.000 0.248
```

## Properties
For the volume, the calculation gives 687 Å³/cell. The energy comes out at -550.2 eV per cell.